A relaxed structure of K2DyGeTe4, computed with GGA-PBE.

Cell lengths 9.143, 9.332, 13.067 Å; angles 90.00, 90.00, 90.00 degrees
Space group Imma (No. 74)
Unique sites:
K 0.000 0.000 0.000 (multiplicity 4)
K 0.250 0.250 0.250 (multiplicity 4)
Dy 0.250 0.250 0.750 (multiplicity 4)
Ge 0.000 0.000 0.500 (multiplicity 4)
Te 0.000 0.026 0.732 (multiplicity 8)
Te 0.214 0.250 0.515 (multiplicity 8)

DOS at the Fermi energy = 1.080 states/eV per atom
Uncorrected formation energy = -0.8270 eV/atom
VASP energy = -3.825 eV/atom

---

A relaxed structure of Tm3PdAu2, computed with GGA-PBE.

Cell lengths 3.513, 3.513, 10.639 Å; angles 90.00, 90.00, 90.00 degrees
Space group P4/mmm (No. 123)
Unique sites:
Tm 0.000 0.000 0.000 (multiplicity 1)
Tm 0.000 0.000 0.339 (multiplicity 2)
Pd 0.500 0.500 0.500 (multiplicity 1)
Au 0.500 0.500 0.169 (multiplicity 2)

Formation enthalpy at 0 K = -0.9078 eV per atom
DOS at the Fermi energy = 0.531 states/eV per atom
VASP energy = -5.102 eV/atom

---

A relaxed structure of Sc4Pb2C, computed with GGA-PBE.

Cell lengths 4.499, 4.499, 15.171 Å; angles 90.00, 90.00, 90.00 degrees
Space group I4/mmm (No. 139)
Unique sites:
Sc 0.000 0.000 0.152 (multiplicity 4)
Sc 0.000 0.500 0.000 (multiplicity 4)
Pb 0.000 0.000 0.355 (multiplicity 4)
C 0.000 0.000 0.000 (multiplicity 2)

Formation enthalpy at 0 K = -0.6119 eV per atom
DOS at the Fermi energy = 0.069 states/eV per atom
E above lowest polymorph = 0.00 kJ/mol of atoms
VASP energy = -6.607 eV/atom

---

Number 1: spin magnetization 0.00 μB/atom. Number 2: spin magnetization 0.00 μB/atom. Number 3: spin magnetization 0.00 μB/atom.